Record 1
The following is a DFT calculation (PBE-GGA) of crystalline K3Ag2I2Br4 at its relaxed geometry.

Values from the calculation:
* total magnetic moment: 0.00 μB/f.u.
* E: -29.81 eV per formula unit

The structure in POSCAR format:
```
K3Ag2I2Br4
1.0
-3.338 2.477 -3.268
-2.639 -4.523 -0.733
-5.488 4.178 13.050
K Ag I Br
3 2 2 4
Direct
0.000 0.000 0.000
0.175 0.175 0.350
0.825 0.825 0.650
0.403 0.403 0.807
0.597 0.597 0.193
0.302 0.302 0.604
0.698 0.698 0.396
0.424 0.924 0.847
0.924 0.424 0.847
0.076 0.576 0.153
0.576 0.076 0.153
```



Record 2
The following is a DFT calculation (PBE-GGA) of crystalline Cd4InPd7 at its relaxed geometry.

Values from the calculation:
* total magnetic moment: 0.00 μB/f.u.
* calculated formation energy: -0.189 eV/atom

The structure in POSCAR format:
```
Cd4InPd7
1.0
4.983 0.000 0.000
2.492 8.651 -0.060
2.492 0.337 5.287
Cd In Pd
4 1 7
Direct
0.589 0.229 0.594
0.411 0.771 0.406
0.762 0.667 0.809
0.238 0.333 0.191
0.000 0.000 0.000
0.791 0.924 0.494
0.209 0.076 0.506
0.063 0.666 0.209
0.937 0.334 0.791
0.360 0.522 0.759
0.500 0.000 0.000
0.640 0.478 0.241
```



Record 3
The following is a DFT calculation (PBE-GGA) of crystalline Dy8PdRh5 at its relaxed geometry.

Values from the calculation:
* total magnetic moment: 0.00 μB/f.u.
* calculated formation energy: -0.773 eV/atom

The structure in POSCAR format:
```
Dy8PdRh5
1.0
-5.245 -0.933 5.211
0.462 -6.158 -4.172
6.578 1.275 3.263
Dy Pd Rh
8 1 5
Direct
0.122 0.753 0.002
0.998 0.120 0.751
0.743 0.249 0.372
0.628 0.371 0.877
0.505 0.629 0.257
0.630 0.880 0.878
0.249 0.247 0.370
0.123 0.751 0.495
0.250 0.500 0.750
0.003 0.376 0.125
0.875 0.879 0.251
0.749 0.624 0.628
0.500 0.000 0.500
0.372 0.121 0.997
```



Record 4
The following is a DFT calculation (PBE-GGA) of crystalline Tm3MnAg3S8 at its relaxed geometry.

Values from the calculation:
* total magnetic moment: 3.03 μB/f.u.
* E: -80.40 eV per formula unit

The structure in POSCAR format:
```
Tm3MnAg3S8
1.0
-2.757 4.919 -5.216
-4.186 -6.071 2.143
1.095 5.914 4.999
Tm Mn Ag S
3 1 3 8
Direct
0.500 0.000 0.500
0.500 0.500 0.500
0.000 0.500 0.500
0.000 0.000 0.500
0.000 0.000 0.000
0.000 0.500 0.000
0.500 0.500 0.000
0.255 0.510 0.267
0.745 0.490 0.733
0.778 0.557 0.284
0.222 0.443 0.716
0.778 0.003 0.284
0.222 0.997 0.716
0.225 0.003 0.284
0.775 0.997 0.716
```



Record 5
The following is a DFT calculation (PBE-GGA) of crystalline Nb3CoC at its relaxed geometry.

Values from the calculation:
* total magnetic moment: 0.00 μB/f.u.
* calculated formation energy: 0.037 eV/atom
* excess energy over the best structure of this formula in the dataset: 364 meV per atom

The structure in POSCAR format:
```
Nb3CoC
1.0
-3.757 1.791 0.834
-0.983 -3.249 2.549
1.713 2.063 3.291
Nb Co C
3 1 1
Direct
0.000 0.500 0.000
0.000 0.000 0.500
0.500 0.000 0.000
0.500 0.500 0.500
0.000 0.000 0.000
```



Record 6
The following is a DFT calculation (PBE-GGA) of crystalline TiPbCO5 at its relaxed geometry.

Values from the calculation:
* total magnetic moment: 0.00 μB/f.u.
* E: -59.29 eV per formula unit

The structure in POSCAR format:
```
TiPbCO5
1.0
5.460 0.063 -0.059
-1.533 5.241 -0.059
-1.704 -2.301 6.442
Ti Pb C O
2 2 2 10
Direct
0.000 0.000 0.500
0.000 0.000 0.000
0.340 0.660 0.250
0.660 0.340 0.750
0.688 0.312 0.250
0.312 0.688 0.750
0.066 0.934 0.250
0.934 0.066 0.750
0.863 0.298 0.130
0.137 0.702 0.870
0.702 0.137 0.370
0.298 0.863 0.630
0.766 0.581 0.391
0.234 0.419 0.609
0.419 0.234 0.109
0.581 0.766 0.891
```